## AcSi2Ir (PBE-GGA)

Data for crystalline AcSi2Ir at its relaxed geometry.

The space group is Cmmm (No. 65) and the conventional cell measures 4.204, 17.779 and 4.438 Å, with angles of 90.00, 90.00 and 90.00 degrees. The asymmetric unit holds Ac at (0.000, 0.145, 0.000), Si at (0.000, 0.000, 0.500), Si at (0.000, 0.288, 0.500), Si at (0.000, 0.500, 0.000) and Ir at (0.000, 0.424, 0.500).

As for the energy above the most stable polymorph in this dataset: 0.112 eV/atom. For the magnetization, the calculation gives 0.00 μB/f.u. As for the formation energy (no corrections): -2.95 eV per formula unit.

## KScSN2 (PBE-GGA)

Data for crystalline KScSN2 at its relaxed geometry.

The space group is P4/mmm (No. 123) and the conventional cell measures 4.156, 4.156 and 5.554 Å, with angles of 90.00, 90.00 and 90.00 degrees. The asymmetric unit holds K at (0.000, 0.000, 0.000), Sc at (0.500, 0.500, 0.500), S at (0.000, 0.000, 0.500) and N at (0.000, 0.500, 0.000).

As for the energy above the most stable polymorph in this dataset: 1.651 eV/atom. For the magnetization, the calculation gives 1.99 μB/f.u. As for the formation energy (no corrections): 8.86 eV per formula unit.

## HfWSN2 (PBE-GGA)

Data for crystalline HfWSN2 at its relaxed geometry.

The space group is P4/mmm (No. 123) and the conventional cell measures 4.093, 4.093 and 4.967 Å, with angles of 90.00, 90.00 and 90.00 degrees. The asymmetric unit holds Hf at (0.000, 0.000, 0.000), W at (0.500, 0.500, 0.500), S at (0.000, 0.000, 0.500) and N at (0.000, 0.500, 0.000).

As for the energy above the most stable polymorph in this dataset: 0.826 eV/atom. For the magnetization, the calculation gives 2.07 μB/f.u. As for the formation energy (no corrections): 4.40 eV per formula unit.

## SrInNi (PBE-GGA)

Data for crystalline SrInNi at its relaxed geometry.

The space group is I4mm (No. 107) and the conventional cell measures 3.505, 3.505 and 11.568 Å, with angles of 90.00, 90.00 and 90.00 degrees. The asymmetric unit holds Sr at (0.000, 0.000, 0.000), In at (0.000, 0.000, 0.282) and Ni at (0.000, 0.000, 0.688).

Its formation energy is -0.1016 eV per atom. For the magnetization, the calculation gives 0.00 μB/f.u.

## Pa4GeTe5 (PBE-GGA)

Data for crystalline Pa4GeTe5 at its relaxed geometry.

The space group is C2/m (No. 12) and the conventional cell measures 18.507, 4.175 and 8.595 Å, with angles of 90.00, 102.23 and 90.00 degrees. The asymmetric unit holds Pa at (0.002, 0.000, 0.268), Pa at (0.159, 0.500, 0.577), Ge at (0.000, 0.500, 0.500), Te at (0.000, 0.500, 0.000), Te at (0.167, 0.000, 0.839) and Te at (0.171, 0.000, 0.314).

For the magnetization, the calculation gives 2.17 μB/f.u. As for the formation energy (no corrections): -7.16 eV per formula unit.

## TaSbBr2 (PBE-GGA)

Data for crystalline TaSbBr2 at its relaxed geometry.

The space group is Fm-3m (No. 225) and the conventional cell measures 7.015, 7.015 and 7.015 Å, with angles of 90.00, 90.00 and 90.00 degrees. The asymmetric unit holds Ta at (0.000, 0.000, 0.000), Sb at (0.000, 0.000, 0.500) and Br at (0.250, 0.250, 0.250).

As for the energy above the most stable polymorph in this dataset: 1.086 eV/atom. For the magnetization, the calculation gives 0.00 μB/f.u. As for the formation energy (no corrections): 3.05 eV per formula unit.

## Dy6Rh3Au (PBE-GGA)

Data for crystalline Dy6Rh3Au at its relaxed geometry.

The space group is Cmc2_1 (No. 36) and the conventional cell measures 10.451, 14.514 and 6.666 Å, with angles of 90.00, 90.00 and 90.00 degrees. The asymmetric unit holds Dy at (0.000, 0.027, 0.000), Dy at (0.000, 0.255, 0.895), Dy at (0.179, 0.294, 0.450), Dy at (0.186, 0.465, 0.896), Rh at (0.000, 0.412, 0.623), Rh at (0.151, 0.118, 0.692) and Au at (0.000, 0.160, 0.312).

As for the energy above the most stable polymorph in this dataset: 0.045 eV/atom. Its formation energy is -0.6486 eV per atom. For the magnetization, the calculation gives 0.00 μB/f.u.

## Mg4AlGa5 (PBE-GGA)

Data for crystalline Mg4AlGa5 at its relaxed geometry.

The space group is P4/mmm (No. 123) and the conventional cell measures 3.363, 3.363 and 16.946 Å, with angles of 90.00, 90.00 and 90.00 degrees. The asymmetric unit holds Mg at (0.000, 0.000, 0.104), Mg at (0.000, 0.000, 0.310), Al at (0.000, 0.000, 0.500), Ga at (0.500, 0.500, 0.000), Ga at (0.500, 0.500, 0.208) and Ga at (0.500, 0.500, 0.413).

Its formation energy is -0.0853 eV per atom. For the magnetization, the calculation gives 0.00 μB/f.u.